No. 1
A plane-wave DFT calculation with PBE was carried out for an optimized crystal structure of PrHo3Sn2.

Calculated values
- volume (Å³/cell) = 725
- N(E_F) (states/eV/f.u.) = 6.84
- formation energy (eV/atom) = -0.498
- density (g/cm³) = 8.0
- M_tot (μB/atom) = 0.002
- raw total energy (eV/atom) = -4.918

Unit cell a=18.062 b=4.604 c=9.497 alpha=90.00 beta=113.44 gamma=90.00
Space group C2/m (No. 12)
Symmetry-distinct sites (fractional):
Pr (0.115, 0.000, 0.136) x4
Ho (0.056, 0.000, 0.690) x4
Ho (0.143, 0.500, 0.482) x4
Ho (0.193, 0.500, 0.888) x4
Sn (0.012, 0.500, 0.855) x4
Sn (0.241, 0.000, 0.710) x4

***

No. 2
A plane-wave DFT calculation with PBE was carried out for an optimized crystal structure of Pr3Ho2Sn4.

Calculated values
- volume (Å³/cell) = 559
- N(E_F) (states/eV/f.u.) = 5.84
- formation energy (eV/atom) = -0.625
- density (g/cm³) = 7.3
- M_tot (μB/atom) = 0.000
- raw total energy (eV/atom) = -5.015

Unit cell a=13.613 b=4.574 c=10.007 alpha=90.00 beta=116.17 gamma=90.00
Space group C2/m (No. 12)
Symmetry-distinct sites (fractional):
Pr (0.000, 0.000, 0.000) x2
Pr (0.122, 0.500, 0.698) x4
Ho (0.181, 0.500, 0.347) x4
Sn (0.070, 0.000, 0.417) x4
Sn (0.207, 0.500, 0.061) x4

***

No. 3
A plane-wave DFT calculation with PBE was carried out for an optimized crystal structure of PrHo2Sn9.

Calculated values
- volume (Å³/cell) = 319
- N(E_F) (states/eV/f.u.) = 7.59
- formation energy (eV/atom) = -0.438
- density (g/cm³) = 8.0
- M_tot (μB/atom) = 0.000
- raw total energy (eV/atom) = -4.601

Unit cell a=4.715 b=4.715 c=14.348 alpha=90.00 beta=90.00 gamma=90.00
Space group P4/mmm (No. 123)
Symmetry-distinct sites (fractional):
Pr (0.000, 0.000, 0.000) x1
Ho (0.000, 0.000, 0.334) x2
Sn (0.000, 0.500, 0.172) x4
Sn (0.000, 0.500, 0.500) x2
Sn (0.500, 0.500, 0.000) x1
Sn (0.500, 0.500, 0.336) x2

***

No. 4
A plane-wave DFT calculation with PBE was carried out for an optimized crystal structure of Pr2Ho3Sn4.

Calculated values
- volume (Å³/cell) = 1081
- N(E_F) (states/eV/f.u.) = 4.69
- formation energy (eV/atom) = -0.633
- density (g/cm³) = 7.7
- offset from the most stable computed form (kJ per mole of atoms) = 15.3
- M_tot (μB/atom) = 0.000
- raw total energy (eV/atom) = -5.000

Unit cell a=7.032 b=17.197 c=8.940 alpha=90.00 beta=90.00 gamma=90.00
Space group Cmce (No. 64)
Symmetry-distinct sites (fractional):
Pr (0.000, 0.111, 0.089) x8
Ho (0.000, 0.000, 0.500) x4
Ho (0.250, 0.207, 0.750) x8
Sn (0.000, 0.186, 0.445) x8
Sn (0.250, 0.032, 0.750) x8

***

No. 5
A plane-wave DFT calculation with PBE was carried out for an optimized crystal structure of Pr2HoSn.

Calculated values
- volume (Å³/cell) = 543
- N(E_F) (states/eV/f.u.) = 5.59
- formation energy (eV/atom) = -0.062
- density (g/cm³) = 6.9
- offset from the most stable computed form (kJ per mole of atoms) = 35.4
- M_tot (μB/atom) = 0.000
- raw total energy (eV/atom) = -4.597

Unit cell a=3.474 b=27.495 c=5.690 alpha=90.00 beta=90.00 gamma=90.00
Space group Cmcm (No. 63)
Symmetry-distinct sites (fractional):
Pr (0.000, 0.094, 0.250) x4
Pr (0.000, 0.188, 0.750) x4
Ho (0.000, 0.028, 0.750) x4
Sn (0.000, 0.305, 0.750) x4

***

No. 6
A plane-wave DFT calculation with PBE was carried out for an optimized crystal structure of Pr3HoSn12.

Calculated values
- volume (Å³/cell) = 434
- N(E_F) (states/eV/f.u.) = 8.86
- formation energy (eV/atom) = -0.484
- density (g/cm³) = 7.7
- M_tot (μB/atom) = 0.000
- raw total energy (eV/atom) = -4.669

Unit cell a=4.788 b=4.788 c=18.926 alpha=90.00 beta=90.00 gamma=90.00
Space group P4/mmm (No. 123)
Symmetry-distinct sites (fractional):
Pr (0.000, 0.000, 0.000) x1
Pr (0.000, 0.000, 0.253) x2
Ho (0.000, 0.000, 0.500) x1
Sn (0.000, 0.500, 0.127) x4
Sn (0.000, 0.500, 0.380) x4
Sn (0.500, 0.500, 0.000) x1
Sn (0.500, 0.500, 0.254) x2
Sn (0.500, 0.500, 0.500) x1